(1)
This record from Alexandria describes an optimized crystal structure of BeTlGa. The functional is PBE.

Properties
SG ... Pnma
Uncorrected energy ... -2.577 eV/atom

Geometry as POSCAR:
```
BeTlGa
1.0
6.957 0.000 0.000
0.000 6.150 0.000
0.000 0.000 5.485
Tl Be Ga
4 4 4
direct
0.879 0.250 0.500
0.379 0.250 0.000
0.121 0.750 0.500
0.621 0.750 0.000
0.246 0.250 0.501
0.754 0.750 0.499
0.254 0.750 0.001
0.746 0.250 0.999
0.500 0.000 0.500
0.000 0.000 0.000
0.500 0.500 0.500
0.000 0.500 0.000
```

=====

(2)
This record from Alexandria describes an optimized crystal structure of Li2S2O7. The functional is PBE.

Properties
SG ... C2/m
Uncorrected energy ... -5.830 eV/atom

Geometry as POSCAR:
```
Li2S2O7
1.0
-2.254 -1.230 -3.768
-3.643 -1.345 3.777
-0.566 5.381 -0.259
Li O S
2 7 2
direct
0.500 0.687 0.313
0.500 0.313 0.687
0.795 0.632 0.632
0.205 0.368 0.368
0.733 0.064 0.354
0.000 0.000 0.000
0.267 0.646 0.936
0.733 0.354 0.064
0.267 0.936 0.646
0.091 0.788 0.788
0.909 0.212 0.212
```

=====

(3)
This record from Alexandria describes an optimized crystal structure of KLa2As2. The functional is PBE.

Properties
SG ... I4/mmm
Uncorrected energy ... -4.832 eV/atom

Geometry as POSCAR:
```
KLa2As2
1.0
5.307 0.000 0.000
0.000 5.307 0.000
2.654 2.654 7.343
K As La
1 2 2
direct
0.000 0.000 0.000
0.347 0.347 0.306
0.653 0.653 0.694
0.750 0.250 0.500
0.250 0.750 0.500
```